Record 1
Compound: Pa5Ga3
Source: Alexandria
Functional: PBE
Structure: optimized geometry

Computed properties:
- V (Å³ per cell) = 357.3
- distance to the lowest polymorph of the same formula (meV/atom) = 0

The structure in extended XYZ format:
```
16
Lattice="8.6773 0.0000 0.0000 0.0000 9.1396 0.0000 0.0000 0.0000 4.5054" Properties=species:S:1:pos:R:3 pbc="T T T"
Pa 0.0000 0.0000 0.0000
Pa 2.1540 4.5698 2.2527
Pa 2.1693 2.2849 0.0000
Pa 2.1693 6.8547 0.0000
Pa 2.1846 0.0000 2.2527
Pa 4.3387 4.5698 0.0000
Pa 6.4927 0.0000 2.2527
Pa 6.5080 2.2849 0.0000
Pa 6.5080 6.8547 0.0000
Pa 6.5233 4.5698 2.2527
Ga 0.0000 2.2418 2.2527
Ga 0.0000 4.5698 0.0000
Ga 0.0000 6.8977 2.2527
Ga 4.3387 0.0000 0.0000
Ga 4.3387 2.3279 2.2527
Ga 4.3387 6.8116 2.2527
```

***

Record 2
Compound: CdFeSnHg2
Source: Alexandria
Functional: PBE
Structure: optimized geometry

Computed properties:
- V (Å³ per cell) = 163.7
- E_tot (eV/atom) = -1.8199

The structure in extended XYZ format:
```
5
Lattice="5.3974 0.0000 0.0000 0.0000 5.3974 0.0000 0.0000 0.0000 5.6207" Properties=species:S:1:pos:R:3 pbc="T T T"
Cd 0.0000 0.0000 0.0000
Fe 2.6987 2.6987 2.8104
Sn 0.0000 0.0000 2.8104
Hg 0.0000 2.6987 0.0000
Hg 2.6987 0.0000 0.0000
```

***

Record 3
Compound: ErThZnHg
Source: Alexandria
Functional: PBE
Structure: optimized geometry

Computed properties:
- V (Å³ per cell) = 407.4
- E_tot (eV/atom) = -3.6393

The structure in extended XYZ format:
```
16
Lattice="7.4135 0.0000 0.0000 0.0000 7.4135 0.0000 0.0000 0.0000 7.4135" Properties=species:S:1:pos:R:3 pbc="T T T"
Er 0.0000 0.0000 0.0000
Er 0.0000 3.7068 3.7068
Er 3.7068 0.0000 3.7068
Er 3.7068 3.7068 0.0000
Th 0.0000 0.0000 3.7068
Th 0.0000 3.7068 0.0000
Th 3.7068 0.0000 0.0000
Th 3.7068 3.7068 3.7068
Zn 1.8534 1.8534 5.5601
Zn 1.8534 5.5601 1.8534
Zn 5.5601 1.8534 1.8534
Zn 5.5601 5.5601 5.5601
Hg 1.8534 1.8534 1.8534
Hg 1.8534 5.5601 5.5601
Hg 5.5601 1.8534 5.5601
Hg 5.5601 5.5601 1.8534
```

***

Record 4
Compound: ErTmPt2
Source: Alexandria
Functional: PBE
Structure: optimized geometry

Computed properties:
- V (Å³ per cell) = 86.6
- distance to the lowest polymorph of the same formula (meV/atom) = 0

The structure in extended XYZ format:
```
4
Lattice="3.7427 0.0000 0.0000 0.0000 4.4120 0.0000 -1.8792 0.0000 5.2429" Properties=species:S:1:pos:R:3 pbc="T T T"
Er 0.0000 0.0000 0.0000
Tm -0.0035 2.2060 2.9087
Pt 1.8707 2.2060 0.5311
Pt 1.8687 0.0000 2.3826
```

***

| no. | DOS(E_F) (states/eV per cell) | mass density (Mg/m³) |
| --- | --- | --- |
| 1 | 32.260 | 12.68 |
| 2 | 6.343 | 6.98 |
| 3 | 24.728 | 10.85 |
| 4 | 3.022 | 13.93 |